Material: Cs2TlCr2F7
Method: DFT, PBE+U
State: relaxed

Unit cell a=4.4577 b=4.4577 c=11.7343 alpha=100.90 beta=100.90 gamma=90.00
Fractional coordinates of all 12 atoms:
Cs  0.1816  0.1816  0.3645
Cs  0.8184  0.8184  0.6355
Tl  0.0000  0.0000  0.0000
Cr  0.4101  0.4101  0.8194
Cr  0.5899  0.5899  0.1806
F  0.0896  0.5898  0.1797
F  0.3215  0.3215  0.6408
F  0.4102  0.9104  0.8203
F  0.5000  0.5000  0.0000
F  0.5898  0.0896  0.1797
F  0.6785  0.6785  0.3592
F  0.9104  0.4102  0.8203

The density is 5.2 g/cm3. For the uncorrected energy, the calculation gives -62.2 eV/cell. The value obtained for the total magnetic moment is 8.00 μB per formula unit. The calculation puts the volume at 225 Å³ per cell.